# K3Mo2BrO7

A geometry-optimized K3Mo2BrO7 structure (GGA+U, Alexandria).

a b c (Å): 6.1524 6.1524 15.9355
angles (deg): 90.00 90.00 120.00
Last column: nearest neighbours and their distance in Å.
Sites, in units of the cell vectors:
K 0.3333 0.6667 0.0413  9 O 2.84-3.18
K 0.3333 0.6667 0.4587  9 O 2.84-3.18
K 0.3333 0.6667 0.7500  6 O 3.16
K 0.6667 0.3333 0.2500  6 O 3.16
K 0.6667 0.3333 0.5413  9 O 2.84-3.18
K 0.6667 0.3333 0.9587  9 O 2.84-3.18
Mo 0.0000 0.0000 0.1303  4 O 1.77-1.91
Mo 0.0000 0.0000 0.3697  4 O 1.77-1.91
Mo 0.0000 0.0000 0.6303  4 O 1.77-1.91
Mo 0.0000 0.0000 0.8697  4 O 1.77-1.91
Br 0.3333 0.6667 0.2500  5 K 3.33-3.55, 3 O 3.55
Br 0.6667 0.3333 0.7500  5 K 3.33-3.55, 3 O 3.55
O 0.0000 0.0000 0.2500  2 Mo 1.91
O 0.0000 0.0000 0.7500  2 Mo 1.91
O 0.1555 0.3110 0.5916  1 Mo 1.77
O 0.1555 0.3110 0.9084  1 Mo 1.77
O 0.1555 0.8445 0.5916  1 Mo 1.77
O 0.1555 0.8445 0.9084  1 Mo 1.77
O 0.3110 0.1555 0.0916  1 Mo 1.77
O 0.3110 0.1555 0.4084  1 Mo 1.77
O 0.6890 0.8445 0.5916  1 Mo 1.77
O 0.6890 0.8445 0.9084  1 Mo 1.77
O 0.8445 0.1555 0.0916  1 Mo 1.77
O 0.8445 0.1555 0.4084  1 Mo 1.77
O 0.8445 0.6890 0.0916  1 Mo 1.77
O 0.8445 0.6890 0.4084  1 Mo 1.77

- electronic total energy (eV/cell) = -153.92
- total magnetic moment (μB per atom) = 0.011